No. 1
First-principles (PBE-GGA) data for crystalline SrSbPb2 at its relaxed geometry, as listed in the Alexandria database.

Calculated values
**Crystal system**: tetragonal
**Formation energy without anion corrections**: -359 meV per atom
**E_tot**: -14.7 eV for the cell shown
**Calculated density**: 8.112 g cm⁻³

Unit cell a=6.6214 b=6.6214 c=6.6214 alpha=138.18 beta=138.18 gamma=60.63
Last column: nearest neighbours and their distance in Å.
Atoms (fractional coordinates):
Pb 0.0000 0.0000 0.0000  4 Pb 3.34, 4 Sb 3.71, 4 Sr 3.71
Pb 0.5000 0.5000 0.0000  4 Pb 3.34, 4 Sr 3.71, 4 Sb 3.71
Sb 0.2500 0.7500 0.5000  4 Sr 3.34, 8 Pb 3.71
Sr 0.7500 0.2500 0.5000  4 Sb 3.34, 8 Pb 3.71

=====

No. 2
First-principles (PBE-GGA) data for crystalline P4IrAu at its relaxed geometry, as listed in the Alexandria database.

Calculated values
**ΔE_f**: 86.8 kJ/mol of atoms
**Crystal system**: cubic
**E_tot**: -28.4 eV for the cell shown
**Calculated density**: 9.174 g cm⁻³

Unit cell a=5.0831 b=5.0831 c=5.0831 alpha=60.00 beta=60.00 gamma=60.00
Last column: nearest neighbours and their distance in Å.
Atoms (fractional coordinates):
P 0.8546 0.3818 0.3818  6 P 2.40-2.68
P 0.3818 0.3818 0.8546  6 P 2.40-2.68
P 0.3818 0.8546 0.3818  6 P 2.40-2.68
P 0.3818 0.3818 0.3818  6 P 2.40-2.68
Ir 0.0000 0.0000 0.0000  12 P 3.00, 4 Au 3.11
Au 0.7500 0.7500 0.7500  12 P 2.97, 4 Ir 3.11